BaTeS3 | PBE | relaxed

abc: 4.0488 12.8994 10.1851
angles: 90.00 90.00 90.00
With the nearest neighbours (Å) after each atom.
Space group Cmcm (No. 63)
Symmetry-distinct sites (fractional):
Ba 0.0000 0.2477 0.2500 [4 per cell]  8 S 3.16-3.30
Te 0.0000 0.5000 0.0000 [4 per cell]  6 S 2.66-2.72
S 0.0000 0.1377 0.5396 [8 per cell]  2 Te 2.72
S 0.0000 0.4402 0.7500 [4 per cell]  2 Te 2.66

- E: -85.48 eV for the cell shown
- Calculated volume: 531.94 Å³ per cell
- Total moment: 0.00 μB/cell
- Uncorrected formation energy: -785 meV per atom



BaTeS3 | PBE | relaxed

abc: 5.7042 5.7042 5.7042
angles: 90.00 90.00 90.00
With the nearest neighbours (Å) after each atom.
Space group Pm-3m (No. 221)
Symmetry-distinct sites (fractional):
Ba 0.0000 0.0000 0.0000 [1 per cell]  6 S 2.85
Te 0.5000 0.5000 0.5000 [1 per cell]  12 S 4.03
S 0.0000 0.0000 0.5000 [3 per cell]  2 Ba 2.85

- E: -13.99 eV for the cell shown
- Calculated volume: 185.61 Å³ per cell
- Total moment: 0.00 μB/cell
- Uncorrected formation energy: 691 meV per atom



BaTe2S | PBE | relaxed

abc: 5.7601 5.7601 21.9427
angles: 90.00 90.00 120.00
With the nearest neighbours (Å) after each atom.
Space group R-3m (No. 166, hexagonal axes)
Symmetry-distinct sites (fractional):
Ba 0.0000 0.0000 0.0000 [3 per cell]  6 Te 3.51
Te 0.0000 0.0000 0.3841 [6 per cell]  1 S 2.54
S 0.0000 0.0000 0.5000 [3 per cell]  2 Te 2.54

- E: -41.87 eV for the cell shown
- Calculated volume: 630.49 Å³ per cell
- Total moment: 0.00 μB/cell
- Uncorrected formation energy: -406 meV per atom